# 1
VASP calculation (GGA-PBE) on crystalline AlTc2W at its relaxed geometry.

The structure belongs to space group P4mm (No. 99); the cell edges are 2.840, 2.840 and 7.375 Å and the angles 90.00°, 90.00° and 90.00°. Symmetry generates all atoms from Al at (0.000, 0.000, 0.000), Tc at (0.000, 0.000, 0.470), Tc at (0.500, 0.500, 0.237) and W at (0.500, 0.500, 0.740).

The calculation puts the calculated total energy at -37.78 eV for the cell shown. The calculation puts the total magnetization at 0.0 Bohr magnetons per cell. The value obtained for the calculated formation energy is -87.0 meV/atom.



# 2
VASP calculation (GGA-PBE) on crystalline AlTc2W at its relaxed geometry.

The structure belongs to space group Pmmm (No. 47); the cell edges are 3.082, 4.228 and 4.579 Å and the angles 90.00°, 90.00° and 90.00°. Symmetry generates all atoms from Al at (0.000, 0.000, 0.000), Tc at (0.000, 0.500, 0.500), Tc at (0.500, 0.500, 0.000) and W at (0.500, 0.000, 0.500).

The calculation puts the calculated total energy at -37.34 eV for the cell shown. The calculation puts the total magnetization at 0.0 Bohr magnetons per cell. The value obtained for the calculated formation energy is 22.1 meV/atom.